SrP2PtCl | meta-GGA SCAN | single point on PBEsol structure

a = 4.483 Å, b = 4.483 Å, c = 6.148 Å
α = 90.00°, β = 90.00°, γ = 90.00°
Space group P4/mmm (No. 123)
Inequivalent atoms, fractional coordinates:
Sr: 0.000 0.000 0.000 [1 per cell]
P: 0.000 0.500 0.500 [2 per cell]
Pt: 0.500 0.500 0.500 [1 per cell]
Cl: 0.500 0.500 0.000 [1 per cell]

Calculated values
Theoretical density: 5.11 g/cm3
Total DFT energy (no corrections): -124.0 eV for the cell shown
Formation energy from raw total energies: -52.4 kJ per mole of atoms
M_tot: 0.0 μB per cell
DOS(E_F): 0.5688 states/eV/atom



ZnPPtCl2 | meta-GGA SCAN | single point on PBEsol structure

a = 4.911 Å, b = 4.911 Å, c = 4.530 Å
α = 90.00°, β = 90.00°, γ = 90.00°
Space group P4/mmm (No. 123)
Inequivalent atoms, fractional coordinates:
Zn: 0.000 0.000 0.000 [1 per cell]
P: 0.500 0.500 0.000 [1 per cell]
Pt: 0.500 0.500 0.500 [1 per cell]
Cl: 0.000 0.500 0.500 [2 per cell]

Calculated values
Theoretical density: 5.51 g/cm3
Total DFT energy (no corrections): -108.8 eV for the cell shown
Formation energy from raw total energies: 24.8 kJ per mole of atoms
M_tot: 0.0 μB per cell
DOS(E_F): 0.4981 states/eV/atom



Rb2PCl | meta-GGA SCAN | single point on PBEsol structure

a = 8.660 Å, b = 8.660 Å, c = 8.782 Å
α = 90.00°, β = 90.00°, γ = 90.00°
Space group I-42d (No. 122)
Inequivalent atoms, fractional coordinates:
Rb: 0.225 0.750 0.125 [8 per cell]
P: 0.000 0.000 0.500 [4 per cell]
Cl: 0.000 0.000 0.000 [4 per cell]

Calculated values
Theoretical density: 2.39 g/cm3
Total DFT energy (no corrections): -250.7 eV for the cell shown
Formation energy from raw total energies: -67.9 kJ per mole of atoms
M_tot: 8.0 μB per cell
DOS(E_F): 0.5421 states/eV/atom



RbPCl3 | meta-GGA SCAN | single point on PBEsol structure

a = 4.972 Å, b = 4.972 Å, c = 4.972 Å
α = 90.00°, β = 90.00°, γ = 90.00°
Space group Pm-3m (No. 221)
Inequivalent atoms, fractional coordinates:
Rb: 0.000 0.000 0.000 [1 per cell]
P: 0.500 0.500 0.500 [1 per cell]
Cl: 0.000 0.500 0.500 [3 per cell]

Calculated values
Theoretical density: 3.01 g/cm3
Total DFT energy (no corrections): -59.9 eV for the cell shown
Formation energy from raw total energies: -92.8 kJ per mole of atoms
M_tot: 0.0 μB per cell
DOS(E_F): 0.3858 states/eV/atom